This record from Alexandria describes a geometry-optimized NdMg5Pt3 structure. The functional is PBE.

```
data_NdMg5Pt3
_space_group_name_H-M_alt 'C m c m'
_space_group_IT_number 63
_space_group_name_Hall '-C 2c 2'
_cell_length_a 4.0678
_cell_length_b 14.3220
_cell_length_c 12.7915
_cell_angle_alpha 90.00
_cell_angle_beta 90.00
_cell_angle_gamma 90.00
loop_
_atom_site_label
_atom_site_type_symbol
_atom_site_fract_x
_atom_site_fract_y
_atom_site_fract_z
_atom_site_occupancy
Nd1 Nd 0.0000 0.1689 0.2500 1
Mg1 Mg 0.0000 0.0000 0.0000 1
Mg2 Mg 0.0000 0.1987 0.5533 1
Mg3 Mg 0.0000 0.4369 0.1430 1
Pt1 Pt 0.0000 0.1437 0.7500 1
Pt2 Pt 0.0000 0.3840 0.5659 1
```

## Properties
The formation enthalpy at 0 K is -672.6 meV per atom. The calculation puts the density of states at the Fermi level at 3.71 states/eV/f.u. The crystal system is orthorhombic.

---

This record from Alexandria describes a geometry-optimized NdMgPt structure. The functional is PBE.

```
data_NdMgPt
_space_group_name_H-M_alt 'P -6 m 2'
_space_group_IT_number 187
_space_group_name_Hall 'P -6 2'
_cell_length_a 4.5584
_cell_length_b 4.5584
_cell_length_c 3.9264
_cell_angle_alpha 90.00
_cell_angle_beta 90.00
_cell_angle_gamma 120.00
loop_
_atom_site_label
_atom_site_type_symbol
_atom_site_fract_x
_atom_site_fract_y
_atom_site_fract_z
_atom_site_occupancy
Nd1 Nd 0.0000 0.0000 0.0000 1
Mg1 Mg 0.3333 0.6667 0.5000 1
Pt1 Pt 0.6667 0.3333 0.5000 1
```

## Properties
The formation enthalpy at 0 K is -693.5 meV per atom. The calculation puts the density of states at the Fermi level at 2.88 states/eV/f.u. The crystal system is hexagonal.

---

This record from Alexandria describes a geometry-optimized Nd2MgPt9 structure. The functional is PBE.

```
data_Nd2MgPt9
_space_group_name_H-M_alt 'R -3 m'
_space_group_IT_number 166
_space_group_name_Hall '-R 3 2"'
_cell_length_a 5.4364
_cell_length_b 5.4364
_cell_length_c 26.6997
_cell_angle_alpha 90.00
_cell_angle_beta 90.00
_cell_angle_gamma 120.00
loop_
_atom_site_label
_atom_site_type_symbol
_atom_site_fract_x
_atom_site_fract_y
_atom_site_fract_z
_atom_site_occupancy
Nd1 Nd 0.0000 0.0000 0.1369 1
Mg1 Mg 0.0000 0.0000 0.0000 1
Pt1 Pt 0.0000 0.0000 0.3326 1
Pt2 Pt 0.0000 0.0000 0.5000 1
Pt3 Pt 0.0037 0.5019 0.9161 1
```

## Properties
The formation enthalpy at 0 K is -708.9 meV per atom. The calculation puts the density of states at the Fermi level at 9.10 states/eV/f.u. The crystal system is trigonal.

---

This record from Alexandria describes a geometry-optimized NdMgPt structure. The functional is PBE.

```
data_NdMgPt
_space_group_name_H-M_alt 'P m m a'
_space_group_IT_number 51
_cell_length_a 13.5955
_cell_length_b 4.0866
_cell_length_c 7.6085
_cell_angle_alpha 90.00
_cell_angle_beta 90.00
_cell_angle_gamma 90.00
loop_
_space_group_symop_operation_xyz
'x,y,z'
'-x,-y,-z'
'-x+1/2,-y,z'
'x+1/2,y,-z'
'x+1/2,-y,-z'
'-x+1/2,y,z'
'-x,y,-z'
'x,-y,z'
loop_
_atom_site_label
_atom_site_type_symbol
_atom_site_fract_x
_atom_site_fract_y
_atom_site_fract_z
_atom_site_occupancy
Nd1 Nd 0.0452 0.0000 0.2294 1
Nd2 Nd 0.2500 0.0000 0.8528 1
Mg1 Mg 0.1301 0.5000 0.5666 1
Mg2 Mg 0.2500 0.5000 0.2042 1
Pt1 Pt 0.0988 0.5000 0.9383 1
Pt2 Pt 0.2500 0.0000 0.4417 1
```

## Properties
The formation enthalpy at 0 K is -857.5 meV per atom. The calculation puts the density of states at the Fermi level at 1.87 states/eV/f.u. The crystal system is orthorhombic.

---

This record from Alexandria describes a geometry-optimized NdMg2Pt structure. The functional is PBE.

```
data_NdMg2Pt
_space_group_name_H-M_alt 'P n m a'
_space_group_IT_number 62
_cell_length_a 15.9090
_cell_length_b 8.2183
_cell_length_c 5.6323
_cell_angle_alpha 90.00
_cell_angle_beta 90.00
_cell_angle_gamma 90.00
loop_
_space_group_symop_operation_xyz
'x,y,z'
'-x,-y,-z'
'-x+1/2,-y,z+1/2'
'x+1/2,y,-z+1/2'
'x+1/2,-y+1/2,-z+1/2'
'-x+1/2,y+1/2,z+1/2'
'-x,y+1/2,-z'
'x,-y+1/2,z'
loop_
_atom_site_label
_atom_site_type_symbol
_atom_site_fract_x
_atom_site_fract_y
_atom_site_fract_z
_atom_site_occupancy
Nd1 Nd 0.1053 0.2500 0.2412 1
Nd2 Nd 0.1360 0.7500 0.0467 1
Mg1 Mg 0.0409 0.0559 0.7358 1
Mg2 Mg 0.2123 0.5563 0.5375 1
Pt1 Pt 0.0680 0.7500 0.5372 1
Pt2 Pt 0.1868 0.2500 0.7393 1
```

## Properties
The formation enthalpy at 0 K is -688.1 meV per atom. The calculation puts the density of states at the Fermi level at 2.72 states/eV/f.u. The crystal system is orthorhombic.

---

This record from Alexandria describes a geometry-optimized Nd8Mg2Pt structure. The functional is PBE.

```
data_Nd8Mg2Pt
_space_group_name_H-M_alt 'C 1 2/m 1'
_space_group_IT_number 12
_cell_length_a 18.1709
_cell_length_b 5.5704
_cell_length_c 7.2066
_cell_angle_alpha 90.00
_cell_angle_beta 109.49
_cell_angle_gamma 90.00
loop_
_space_group_symop_operation_xyz
'x,y,z'
'-x,-y,-z'
'-x,y,-z'
'x,-y,z'
'x+1/2,y+1/2,z'
'-x+1/2,-y+1/2,-z'
'-x+1/2,y+1/2,-z'
'x+1/2,-y+1/2,z'
loop_
_atom_site_label
_atom_site_type_symbol
_atom_site_fract_x
_atom_site_fract_y
_atom_site_fract_z
_atom_site_occupancy
Nd1 Nd 0.0140 0.0000 0.2788 1
Nd2 Nd 0.0967 0.5000 0.9179 1
Nd3 Nd 0.1513 0.5000 0.4380 1
Nd4 Nd 0.1992 0.0000 0.7678 1
Mg1 Mg 0.1816 0.0000 0.1977 1
Pt1 Pt 0.0000 0.5000 0.5000 1
```

## Properties
The formation enthalpy at 0 K is -173.4 meV per atom. The calculation puts the density of states at the Fermi level at 12.75 states/eV/f.u. The crystal system is monoclinic.

---

This record from Alexandria describes a geometry-optimized NdMgPt structure. The functional is PBE.

```
data_NdMgPt
_space_group_name_H-M_alt 'P -6 2 m'
_space_group_IT_number 189
_space_group_name_Hall 'P -6 -2'
_cell_length_a 7.5805
_cell_length_b 7.5805
_cell_length_c 4.1298
_cell_angle_alpha 90.00
_cell_angle_beta 90.00
_cell_angle_gamma 120.00
loop_
_atom_site_label
_atom_site_type_symbol
_atom_site_fract_x
_atom_site_fract_y
_atom_site_fract_z
_atom_site_occupancy
Nd1 Nd 0.0000 0.5876 0.0000 1
Mg1 Mg 0.0000 0.2408 0.5000 1
Pt1 Pt 0.0000 0.0000 0.0000 1
Pt2 Pt 0.3333 0.6667 0.5000 1
```

## Properties
The formation enthalpy at 0 K is -906.7 meV per atom. The calculation puts the density of states at the Fermi level at 2.23 states/eV/f.u. The crystal system is hexagonal.

---

This record from Alexandria describes a geometry-optimized Nd6Mg2Pt structure. The functional is PBE.

```
data_Nd6Mg2Pt
_space_group_name_H-M_alt 'P 1 21/c 1'
_space_group_IT_number 14
_cell_length_a 6.5176
_cell_length_b 8.3356
_cell_length_c 11.2882
_cell_angle_alpha 90.00
_cell_angle_beta 113.20
_cell_angle_gamma 90.00
loop_
_space_group_symop_operation_xyz
'x,y,z'
'-x,-y,-z'
'-x,y+1/2,-z+1/2'
'x,-y+1/2,z+1/2'
loop_
_atom_site_label
_atom_site_type_symbol
_atom_site_fract_x
_atom_site_fract_y
_atom_site_fract_z
_atom_site_occupancy
Nd1 Nd 0.1123 0.0389 0.2510 1
Nd2 Nd 0.1527 0.7056 0.0356 1
Nd3 Nd 0.3811 0.1594 0.0161 1
Mg1 Mg 0.3801 0.0922 0.7267 1
Pt1 Pt 0.5000 0.0000 0.5000 1
```

## Properties
The formation enthalpy at 0 K is -174.0 meV per atom. The calculation puts the density of states at the Fermi level at 10.70 states/eV/f.u. The crystal system is monoclinic.

---

This record from Alexandria describes a geometry-optimized NdMgPtRh structure. The functional is PBE.

```
data_NdMgPtRh
_space_group_name_H-M_alt 'F -4 3 m'
_space_group_IT_number 216
_space_group_name_Hall 'F -4 2 3'
_cell_length_a 6.7957
_cell_length_b 6.7957
_cell_length_c 6.7957
_cell_angle_alpha 90.00
_cell_angle_beta 90.00
_cell_angle_gamma 90.00
loop_
_atom_site_label
_atom_site_type_symbol
_atom_site_fract_x
_atom_site_fract_y
_atom_site_fract_z
_atom_site_occupancy
Nd1 Nd 0.0000 0.0000 0.0000 1
Mg1 Mg 0.0000 0.0000 0.5000 1
Pt1 Pt 0.2500 0.2500 0.2500 1
Rh1 Rh 0.2500 0.2500 0.7500 1
```

## Properties
The formation enthalpy at 0 K is -706.9 meV per atom. The calculation puts the density of states at the Fermi level at 3.05 states/eV/f.u. The crystal system is cubic.

---

This record from Alexandria describes a geometry-optimized NdMgScPt2 structure. The functional is PBE.

```
data_NdMgScPt2
_space_group_name_H-M_alt 'I -4 m 2'
_space_group_IT_number 119
_space_group_name_Hall 'I -4 -2'
_cell_length_a 4.1925
_cell_length_b 4.1925
_cell_length_c 12.3490
_cell_angle_alpha 90.00
_cell_angle_beta 90.00
_cell_angle_gamma 90.00
loop_
_atom_site_label
_atom_site_type_symbol
_atom_site_fract_x
_atom_site_fract_y
_atom_site_fract_z
_atom_site_occupancy
Nd1 Nd 0.0000 0.0000 0.0000 1
Mg1 Mg 0.0000 0.5000 0.2500 1
Sc1 Sc 0.0000 0.5000 0.7500 1
Pt1 Pt 0.0000 0.0000 0.3896 1
```

## Properties
The formation enthalpy at 0 K is -970.3 meV per atom. The calculation puts the density of states at the Fermi level at 2.77 states/eV/f.u. The crystal system is tetragonal.

---

This record from Alexandria describes a geometry-optimized NdMgSc2Pt2 structure. The functional is PBE.

```
data_NdMgSc2Pt2
_space_group_name_H-M_alt 'P -3 m 1'
_space_group_IT_number 164
_space_group_name_Hall '-P 3 2"'
_cell_length_a 4.7543
_cell_length_b 4.7543
_cell_length_c 6.5987
_cell_angle_alpha 90.00
_cell_angle_beta 90.00
_cell_angle_gamma 120.00
loop_
_atom_site_label
_atom_site_type_symbol
_atom_site_fract_x
_atom_site_fract_y
_atom_site_fract_z
_atom_site_occupancy
Nd1 Nd 0.0000 0.0000 0.0000 1
Mg1 Mg 0.0000 0.0000 0.5000 1
Sc1 Sc 0.3333 0.6667 0.6709 1
Pt1 Pt 0.3333 0.6667 0.2625 1
```

## Properties
The formation enthalpy at 0 K is -895.6 meV per atom. The calculation puts the density of states at the Fermi level at 5.52 states/eV/f.u. The crystal system is trigonal.

---

This record from Alexandria describes a geometry-optimized Nd2MgSi3Pt4 structure. The functional is PBE.

```
data_Nd2MgSi3Pt4
_space_group_name_H-M_alt 'P -4 m 2'
_space_group_IT_number 115
_cell_length_a 4.2859
_cell_length_b 4.2859
_cell_length_c 10.1365
_cell_angle_alpha 90.00
_cell_angle_beta 90.00
_cell_angle_gamma 90.00
loop_
_space_group_symop_operation_xyz
'x,y,z'
'y,-x,-z'
'-x,-y,z'
'-y,x,-z'
'-x,y,z'
'-y,-x,-z'
'x,-y,z'
'y,x,-z'
loop_
_atom_site_label
_atom_site_type_symbol
_atom_site_fract_x
_atom_site_fract_y
_atom_site_fract_z
_atom_site_occupancy
Nd1 Nd 0.0000 0.5000 0.2466 1
Mg1 Mg 0.0000 0.0000 0.5000 1
Si1 Si 0.0000 0.5000 0.8742 1
Si2 Si 0.5000 0.5000 0.5000 1
Pt1 Pt 0.0000 0.0000 0.0000 1
Pt2 Pt 0.0000 0.5000 0.6386 1
Pt3 Pt 0.5000 0.5000 0.0000 1
```

## Properties
The calculation puts the density of states at the Fermi level at 4.39 states/eV/f.u. The formation energy without anion corrections comes out at -1.0590 eV/atom. The crystal system is tetragonal.